LaPbAuO3: relaxed, PBE-GGA.

Output
SG: Cmcm (63)
Total DFT energy (no corrections) (eV/f.u.): -34.82
Crystal system: orthorhombic

Lattice parameters (Å, degrees): 4.540 4.540 10.695 90.00 90.00 115.94
Fractional positions:
La  0.000  0.000  0.000
La  0.000  0.000  0.500
Pb  0.377  0.623  0.750
Pb  0.623  0.377  0.250
Au  0.291  0.709  0.250
Au  0.709  0.291  0.750
O  0.008  0.992  0.250
O  0.315  0.685  0.553
O  0.315  0.685  0.947
O  0.685  0.315  0.053
O  0.685  0.315  0.447
O  0.992  0.008  0.750

---

LaBeReTe: relaxed, PBE-GGA.

Output
SG: F-43m (216)
Crystal system: cubic
Energy above the most stable polymorph in this dataset (eV per formula unit): 1.48

Lattice parameters (Å, degrees): 4.909 4.909 4.909 60.00 60.00 60.00
Fractional positions:
La  0.000  0.000  0.000
Be  0.500  0.500  0.500
Re  0.750  0.750  0.750
Te  0.250  0.250  0.250

---

Cu5Sn3Se10: relaxed, PBE-GGA.

Output
SG: P6_2 (171)
Total DFT energy (no corrections) (eV/f.u.): -68.76
Crystal system: hexagonal

Lattice parameters (Å, degrees): 14.181 14.181 16.838 90.00 90.00 120.00
Fractional positions:
Cu  0.000  0.500  0.000
Cu  0.013  0.643  0.858
Cu  0.162  0.573  0.865
Cu  0.357  0.370  0.525
Cu  0.370  0.013  0.191
Cu  0.411  0.838  0.198
Cu  0.427  0.589  0.532
Cu  0.500  0.000  0.333
Cu  0.500  0.500  0.667
Cu  0.573  0.411  0.532
Cu  0.589  0.162  0.198
Cu  0.630  0.987  0.191
Cu  0.643  0.630  0.525
Cu  0.838  0.427  0.865
Cu  0.987  0.357  0.858
Sn  0.000  0.500  0.679
Sn  0.213  0.769  0.024
Sn  0.231  0.444  0.691
Sn  0.444  0.213  0.358
Sn  0.500  0.000  0.012
Sn  0.500  0.500  0.346
Sn  0.556  0.787  0.358
Sn  0.769  0.556  0.691
Sn  0.787  0.231  0.024
Se  0.006  0.674  0.996
Se  0.097  0.432  0.584
Se  0.141  0.669  0.759
Se  0.176  0.412  0.836
Se  0.195  0.579  0.004
Se  0.236  0.824  0.170
Se  0.326  0.332  0.663
Se  0.331  0.472  0.425
Se  0.332  0.006  0.330
Se  0.335  0.903  0.917
Se  0.384  0.805  0.337
Se  0.412  0.236  0.503
Se  0.421  0.616  0.671
Se  0.432  0.335  0.251
Se  0.472  0.141  0.092
Se  0.528  0.859  0.092
Se  0.568  0.665  0.251
Se  0.579  0.384  0.671
Se  0.588  0.764  0.503
Se  0.616  0.195  0.337
Se  0.665  0.097  0.917
Se  0.668  0.994  0.330
Se  0.669  0.528  0.425
Se  0.674  0.668  0.663
Se  0.764  0.176  0.170
Se  0.805  0.421  0.004
Se  0.824  0.588  0.836
Se  0.859  0.331  0.759
Se  0.903  0.568  0.584
Se  0.994  0.326  0.996

---

GaTcAu2: relaxed, PBE-GGA.

Output
SG: F-43m (216)
Total DFT energy (no corrections) (eV/f.u.): -18.97
Crystal system: cubic

Lattice parameters (Å, degrees): 4.541 4.541 4.541 60.00 60.00 60.00
Fractional positions:
Ga  0.000  0.000  0.000
Tc  0.250  0.250  0.250
Au  0.500  0.500  0.500
Au  0.750  0.750  0.750

---

AcIrNO: relaxed, PBE-GGA.

Output
SG: P4/nmm (129)
Crystal system: tetragonal
Energy above the most stable polymorph in this dataset (eV per formula unit): 3.55

Lattice parameters (Å, degrees): 5.255 5.255 4.567 90.00 90.00 90.00
Fractional positions:
Ac  0.250  0.750  0.000
Ac  0.750  0.250  0.000
Ir  0.250  0.250  0.499
Ir  0.750  0.750  0.501
N  0.250  0.250  0.018
N  0.750  0.750  0.982
O  0.250  0.750  0.500
O  0.750  0.250  0.500

---

Pr2DyCd3Cu2Ag: relaxed, PBE-GGA.

Output
SG: Amm2 (38)
Total DFT energy (no corrections) (eV/f.u.): -29.69
Crystal system: orthorhombic

Lattice parameters (Å, degrees): 3.961 7.817 7.817 120.17 90.00 90.00
Fractional positions:
Pr  0.000  0.205  0.795
Pr  0.000  0.795  0.205
Dy  0.000  0.382  0.382
Cd  0.500  0.062  0.062
Cd  0.500  0.529  0.789
Cd  0.500  0.789  0.529
Cu  0.500  0.135  0.459
Cu  0.500  0.459  0.135
Ag  0.000  0.792  0.792

---

BaTbMo: relaxed, PBE-GGA.

Output
SG: F-43m (216)
Crystal system: cubic
Energy above the most stable polymorph in this dataset (eV per formula unit): 0.00

Lattice parameters (Å, degrees): 5.154 5.154 5.154 60.00 60.00 60.00
Fractional positions:
Ba  0.000  0.000  0.000
Tb  0.500  0.500  0.500
Mo  0.250  0.250  0.250

---

TbNdNO: relaxed, PBE-GGA.

Output
SG: P4/nmm (129)
Crystal system: tetragonal
Energy above the most stable polymorph in this dataset (eV per formula unit): 1.77

Lattice parameters (Å, degrees): 4.307 4.307 8.433 90.00 90.00 90.00
Fractional positions:
Tb  0.250  0.750  0.000
Tb  0.750  0.250  0.000
Nd  0.250  0.250  0.384
Nd  0.750  0.750  0.616
N  0.250  0.250  0.888
N  0.750  0.750  0.112
O  0.250  0.750  0.500
O  0.750  0.250  0.500

---

Y4Nb2Al3C3: relaxed, PBE-GGA.

Output
SG: C2/c (15)
Total DFT energy (no corrections) (eV/f.u.): -90.07
Crystal system: monoclinic

Lattice parameters (Å, degrees): 5.994 5.994 14.889 102.22 102.22 60.21
Fractional positions:
Y  0.044  0.192  0.100
Y  0.121  0.300  0.400
Y  0.192  0.044  0.600
Y  0.300  0.121  0.900
Y  0.700  0.879  0.100
Y  0.808  0.956  0.400
Y  0.879  0.700  0.600
Y  0.956  0.808  0.900
Nb  0.348  0.525  0.073
Nb  0.475  0.652  0.427
Nb  0.525  0.348  0.573
Nb  0.652  0.475  0.927
Al  0.164  0.836  0.250
Al  0.329  0.417  0.752
Al  0.417  0.329  0.252
Al  0.583  0.671  0.748
Al  0.671  0.583  0.248
Al  0.836  0.164  0.750
C  0.000  0.500  0.000
C  0.202  0.649  0.500
C  0.351  0.798  0.000
C  0.500  0.000  0.500
C  0.649  0.202  0.000
C  0.798  0.351  0.500

---

LiTbSO: relaxed, PBE-GGA.

Output
SG: Pca2_1 (29)
Crystal system: orthorhombic
Energy above the most stable polymorph in this dataset (eV per formula unit): 0.72

Lattice parameters (Å, degrees): 5.554 9.245 5.491 90.00 90.00 90.00
Fractional positions:
Li  0.144  0.037  0.000
Li  0.356  0.037  0.500
Li  0.644  0.963  0.000
Li  0.856  0.963  0.500
Tb  0.005  0.312  0.636
Tb  0.495  0.312  0.136
Tb  0.505  0.688  0.636
Tb  0.995  0.688  0.136
S  0.007  0.642  0.636
S  0.493  0.642  0.136
S  0.507  0.358  0.636
S  0.993  0.358  0.136
O  0.060  0.098  0.667
O  0.440  0.098  0.167
O  0.560  0.902  0.667
O  0.940  0.902  0.167

---

DyTm2Mg3TlGa2: relaxed, PBE-GGA.

Output
SG: Amm2 (38)
Total DFT energy (no corrections) (eV/f.u.): -30.40
Crystal system: orthorhombic

Lattice parameters (Å, degrees): 4.525 7.294 7.294 120.22 90.00 90.00
Fractional positions:
Dy  0.000  0.000  0.000
Tm  0.000  0.438  0.875
Tm  0.000  0.875  0.438
Mg  0.500  0.188  0.438
Mg  0.500  0.438  0.188
Mg  0.500  0.689  0.689
Tl  0.000  0.441  0.441
Ga  0.500  0.106  0.770
Ga  0.500  0.770  0.106

---

TmLu2Fe7Co2: relaxed, PBE-GGA.

Output
SG: R-3m (166)
Total DFT energy (no corrections) (eV/f.u.): -87.70
Crystal system: trigonal

Lattice parameters (Å, degrees): 8.558 8.558 8.558 33.59 33.59 33.59
Fractional positions:
Tm  0.000  0.000  0.000
Lu  0.142  0.142  0.142
Lu  0.858  0.858  0.858
Fe  0.082  0.583  0.583
Fe  0.417  0.417  0.918
Fe  0.417  0.918  0.417
Fe  0.500  0.500  0.500
Fe  0.583  0.082  0.583
Fe  0.583  0.583  0.082
Fe  0.918  0.417  0.417
Co  0.333  0.333  0.333
Co  0.667  0.667  0.667

---

What did the eleventh record say?
DyTm2Mg3TlGa2: relaxed, PBE-GGA.

Output
SG: Amm2 (38)
Total DFT energy (no corrections) (eV/f.u.): -30.40
Crystal system: orthorhombic

Lattice parameters (Å, degrees): 4.525 7.294 7.294 120.22 90.00 90.00
Fractional positions:
Dy  0.000  0.000  0.000
Tm  0.000  0.438  0.875
Tm  0.000  0.875  0.438
Mg  0.500  0.188  0.438
Mg  0.500  0.438  0.188
Mg  0.500  0.689  0.689
Tl  0.000  0.441  0.441
Ga  0.500  0.106  0.770
Ga  0.500  0.770  0.106